A relaxed structure of Pr3AlCu2Pt9. Source: the Alexandria database, functional PBE-GGA.

The structure belongs to space group P-3m1 (No. 164); the cell edges are 7.5651, 7.5651 and 6.2073 Å and the angles 90.00°, 90.00° and 120.00°. The asymmetric unit holds Pr at (0.0000, 0.0000, 0.0000), Pr at (0.3333, 0.6667, 0.6711), Al at (0.0000, 0.0000, 0.5000), Cu at (0.3333, 0.6667, 0.1673), Pt at (0.0000, 0.5000, 0.0000) and Pt at (0.1650, 0.3301, 0.3322).

As for the calculated total energy: -5.83 eV per atom. The crystal system is trigonal. Its energy relative to the elements is -458 meV per atom.

A relaxed structure of PrAl4Cu2Pt. Source: the Alexandria database, functional PBE-GGA.

The structure belongs to space group R-3m (No. 166, hexagonal axes); the cell edges are 4.2278, 4.2278 and 27.2844 Å and the angles 90.00°, 90.00° and 120.00°. The asymmetric unit holds Pr at (0.0000, 0.0000, 0.0000), Al at (0.0000, 0.0000, 0.1306), Al at (0.0000, 0.0000, 0.4061), Cu at (0.0000, 0.0000, 0.2417) and Pt at (0.0000, 0.0000, 0.5000).

As for the calculated total energy: -4.75 eV per atom. The crystal system is trigonal. Its energy relative to the elements is -506 meV per atom.

A relaxed structure of Pr2Al2CuRh5. Source: the Alexandria database, functional PBE-GGA.

The structure belongs to space group P4/mbm (No. 127); the cell edges are 10.0116, 10.0116 and 3.4935 Å and the angles 90.00°, 90.00° and 90.00°. The asymmetric unit holds Pr at (0.1772, 0.3228, 0.0000), Al at (0.1225, 0.6225, 0.0000), Cu at (0.0000, 0.0000, 0.0000), Rh at (0.0000, 0.5000, 0.5000) and Rh at (0.0621, 0.7946, 0.5000).

As for the calculated total energy: -6.36 eV per atom. The crystal system is tetragonal. Its energy relative to the elements is -570 meV per atom.

A relaxed structure of PrAlCu2S4. Source: the Alexandria database, functional PBE-GGA.

The structure belongs to space group I222 (No. 23); the cell edges are 6.3412, 6.6068 and 7.4784 Å and the angles 90.00°, 90.00° and 90.00°. The asymmetric unit holds Pr at (0.0000, 0.0000, 0.0000), Al at (0.0000, 0.0000, 0.5000), Cu at (0.0000, 0.5000, 0.1809) and S at (0.2078, 0.1950, 0.3256).

As for the calculated total energy: -5.17 eV per atom. The crystal system is orthorhombic. The value obtained for the formation energy from raw total energies is -1.01 eV/atom.

A relaxed structure of Pr2AlCuS5. Source: the Alexandria database, functional PBE-GGA.

The structure belongs to space group Cmc2_1 (No. 36); the cell edges are 3.9514, 17.3087 and 11.0771 Å and the angles 90.00°, 90.00° and 90.00°. The asymmetric unit holds Pr at (0.0000, 0.1097, 0.0000), Pr at (0.0000, 0.1202, 0.6199), Al at (0.0000, 0.4052, 0.7902), Cu at (0.0000, 0.2495, 0.4230), S at (0.0000, 0.0428, 0.3710), S at (0.0000, 0.3077, 0.6472), S at (0.0000, 0.3113, 0.9552), S at (0.0000, 0.3581, 0.3133) and S at (0.0000, 0.4925, 0.6149).

As for the calculated total energy: -5.70 eV per atom. The crystal system is orthorhombic. The value obtained for the formation energy from raw total energies is -1.48 eV/atom.

A relaxed structure of PrScAlCu. Source: the Alexandria database, functional PBE-GGA.

The structure belongs to space group F-43m (No. 216); the cell edges are 7.0826, 7.0826 and 7.0826 Å and the angles 90.00°, 90.00° and 90.00°. The asymmetric unit holds Pr at (0.0000, 0.0000, 0.0000), Sc at (0.0000, 0.0000, 0.5000), Al at (0.2500, 0.2500, 0.2500) and Cu at (0.2500, 0.2500, 0.7500).

As for the calculated total energy: -4.96 eV per atom. The crystal system is cubic. Its energy relative to the elements is -220 meV per atom.

A relaxed structure of Pr2AlCuSe5. Source: the Alexandria database, functional PBE-GGA.

The structure belongs to space group Cmc2_1 (No. 36); the cell edges are 4.1219, 18.1338 and 11.6483 Å and the angles 90.00°, 90.00° and 90.00°. The asymmetric unit holds Pr at (0.0000, 0.1112, 0.0000), Pr at (0.0000, 0.1210, 0.6209), Al at (0.0000, 0.4061, 0.7906), Cu at (0.0000, 0.2548, 0.4380), Se at (0.0000, 0.0422, 0.3783), Se at (0.0000, 0.3051, 0.6494), Se at (0.0000, 0.3113, 0.9573), Se at (0.0000, 0.3589, 0.3140) and Se at (0.0000, 0.4922, 0.6150).

As for the calculated total energy: -5.18 eV per atom. The crystal system is orthorhombic. The value obtained for the formation energy from raw total energies is -1.31 eV/atom.

A relaxed structure of PrAlCu2Si. Source: the Alexandria database, functional PBE-GGA.

The structure belongs to space group Imm2 (No. 44); the cell edges are 4.0711, 4.0748 and 10.6714 Å and the angles 90.00°, 90.00° and 90.00°. The asymmetric unit holds Pr at (0.0000, 0.0000, 0.0000), Al at (0.0000, 0.5000, 0.7485), Cu at (0.0000, 0.0000, 0.6168), Cu at (0.0000, 0.5000, 0.2625) and Si at (0.0000, 0.0000, 0.3937).

As for the calculated total energy: -4.89 eV per atom. The crystal system is orthorhombic. The value obtained for the formation energy from raw total energies is -0.46 eV/atom.

Q: Among the records above, which one has the highest calculated total energy?
A: PrAl4Cu2Pt

Q: Number 3 is which compound?
A: Pr2Al2CuRh5

Q: The lowest calculated total energy belongs to which entry?
A: Pr2Al2CuRh5

Q: Look up the calculated total energy of the sixth one.
A: -4.96 eV per atom